This record from Alexandria describes ErPN3 after structural relaxation. The functional is PBE.

```
20
Lattice="5.517 0.000 0.000 0.000 6.402 -2.020 0.000 0.957 8.075" Properties=species:S:1:pos:R:3 pbc="T T T"
N 5.067 7.017 5.543
N 0.450 0.342 0.512
P 0.905 3.127 3.592
N 0.851 1.654 4.132
N 2.308 4.021 3.539
P 3.664 1.509 7.511
N 0.242 3.099 1.980
Er 3.549 4.642 5.554
Er 0.790 6.395 3.528
P 4.612 4.231 2.463
N 4.666 5.704 1.923
N 5.275 4.260 4.075
N 3.209 3.337 2.516
N 2.517 6.778 5.008
N 3.000 0.581 1.047
Er 1.968 2.716 0.501
P 1.853 5.850 -1.456
N 3.609 2.982 6.970
N 1.908 4.377 -0.915
Er 4.727 0.963 2.527
```

Calculated values
The total energy comes out at -7.782 eV per atom. For the energy relative to the elements, uncorrected, the calculation gives -0.792 eV per atom. As for the space group: P2_1/c (14).

This record from Alexandria describes ErPaPN2 after structural relaxation. The functional is PBE.

```
5
Lattice="3.851 0.000 0.000 0.000 3.851 0.000 -1.926 -1.926 6.031" Properties=species:S:1:pos:R:3 pbc="T T T"
Pa 0.000 0.000 1.941
Er 1.926 1.926 4.146
P 1.926 1.926 0.059
N 0.000 1.926 2.957
N 1.926 0.000 2.957
```

Calculated values
The total energy comes out at -8.560 eV per atom. For the energy relative to the elements, uncorrected, the calculation gives -1.336 eV per atom. As for the space group: I4mm (107).

This record from Alexandria describes ErPa3P4N12 after structural relaxation. The functional is PBE.

```
20
Lattice="6.876 0.022 0.031 -1.635 6.679 0.031 -1.635 -2.091 6.344" Properties=species:S:1:pos:R:3 pbc="T T T"
P 1.803 6.353 0.290
Er 0.000 0.000 0.000
P 5.731 -0.767 3.203
N 1.803 -1.124 5.671
N 5.820 0.515 2.268
N -0.903 0.318 6.194
N 0.526 6.128 1.208
N 5.131 3.132 0.735
N -1.525 4.909 3.203
Pa 2.945 3.098 0.031
N 0.548 3.287 3.203
N 3.080 5.411 0.212
N 4.509 -1.162 4.139
N 3.058 2.617 2.272
Pa 2.297 -1.114 3.428
P -2.125 1.330 6.116
N 1.803 1.013 4.134
N -2.214 2.624 5.198
P 1.803 2.306 3.203
Pa -1.635 2.628 2.947
```

Calculated values
The total energy comes out at -8.573 eV per atom. For the energy relative to the elements, uncorrected, the calculation gives -0.843 eV per atom. As for the space group: R32 (155).

This record from Alexandria describes ErPa2PN6 after structural relaxation. The functional is PBE.

```
10
Lattice="4.934 0.000 0.000 0.000 5.247 0.000 0.000 0.000 5.247" Properties=species:S:1:pos:R:3 pbc="T T T"
Pa 4.920 0.000 2.623
N 3.602 4.076 1.170
N 3.602 1.170 1.170
Er 2.745 2.623 2.623
N 1.293 0.000 0.000
P 2.978 0.000 0.000
N 0.543 2.623 2.623
N 3.602 4.076 4.076
Pa 4.920 2.623 0.000
N 3.602 1.170 4.076
```

Calculated values
The total energy comes out at -8.900 eV per atom. For the energy relative to the elements, uncorrected, the calculation gives -1.008 eV per atom. As for the space group: P4mm (99).

This record from Alexandria describes ErPa2PN5 after structural relaxation. The functional is PBE.

```
18
Lattice="5.360 0.000 0.000 0.000 6.583 0.000 0.000 0.000 6.583" Properties=species:S:1:pos:R:3 pbc="T T T"
Pa 2.680 2.137 5.428
Pa 2.680 1.154 2.137
N 1.256 5.666 2.374
P 0.000 3.291 0.000
P 0.000 0.000 3.291
N 1.256 4.208 5.666
N 4.105 5.666 2.374
Er 0.000 3.291 3.291
N 4.105 0.917 4.208
N 2.680 0.000 0.000
Pa 2.680 5.428 4.446
N 2.680 3.291 3.291
N 1.256 0.917 4.208
Er 0.000 0.000 0.000
N 4.105 4.208 5.666
Pa 2.680 4.446 1.154
N 4.105 2.374 0.917
N 1.256 2.374 0.917
```

Calculated values
The total energy comes out at -8.896 eV per atom. For the energy relative to the elements, uncorrected, the calculation gives -1.053 eV per atom. As for the space group: P4/mbm (127).

This record from Alexandria describes ErPaPN after structural relaxation. The functional is PBE.

```
8
Lattice="-1.031 -1.651 3.592 3.230 -2.491 -0.217 4.963 6.068 4.214" Properties=species:S:1:pos:R:3 pbc="T T T"
N 1.100 -2.071 1.687
Er 2.481 3.034 2.107
Pa 0.107 -0.064 2.325
N 0.000 0.000 0.000
P 3.030 0.484 1.093
P 3.032 3.512 4.809
Er 3.581 0.963 3.794
Pa 5.955 4.060 3.577
```

Calculated values
The total energy comes out at -8.137 eV per atom. For the energy relative to the elements, uncorrected, the calculation gives -1.188 eV per atom. As for the space group: P4/nmm (129).

This record from Alexandria describes Pr2ErP2N6 after structural relaxation. The functional is PBE.

```
11
Lattice="5.592 0.000 0.000 2.796 4.843 0.000 2.796 1.614 5.861" Properties=species:S:1:pos:R:3 pbc="T T T"
Pr 2.796 1.614 2.182
N 4.226 4.018 1.615
N 5.592 4.806 4.246
Er 0.000 0.000 0.000
N 4.226 2.440 4.246
Pr 8.388 4.843 3.680
P 5.592 3.229 4.470
N 6.959 2.440 4.246
N 5.592 1.651 1.615
N 6.959 4.018 1.615
P 5.592 3.229 1.391
```

Calculated values
The total energy comes out at -7.781 eV per atom. For the energy relative to the elements, uncorrected, the calculation gives -0.972 eV per atom. As for the space group: R-3m (166).

This record from Alexandria describes Er8P3S4N after structural relaxation. The functional is PBE.

```
16
Lattice="-2.636 4.665 -5.529 1.845 -5.297 -5.348 -4.557 -1.943 5.894" Properties=species:S:1:pos:R:3 pbc="T T T"
Er -0.146 -0.344 -2.741
N 0.923 -2.649 -2.674
Er -1.543 2.128 -5.671
Er -2.492 -1.167 0.203
P -0.395 -0.316 -5.439
P -2.674 -1.288 -2.492
S -2.279 -0.972 2.947
Er -3.959 1.098 -2.547
S -1.318 2.332 -2.765
S -3.597 1.361 0.182
Er -2.856 -1.408 -5.187
S 0.000 0.000 0.000
P -1.356 -3.620 0.273
Er -1.390 -3.673 -2.436
Er -5.202 -2.231 -2.243
Er -3.805 -4.703 0.687
```

Calculated values
The total energy comes out at -6.662 eV per atom. For the energy relative to the elements, uncorrected, the calculation gives -1.814 eV per atom. As for the space group: R-3m (166).

This record from Alexandria describes Er8P3S3N after structural relaxation. The functional is PBE.

```
15
Lattice="-4.352 -0.829 -6.333 5.907 -4.814 1.286 -6.320 -0.378 4.392" Properties=species:S:1:pos:R:3 pbc="T T T"
P 0.000 0.000 0.000
Er -7.979 -0.933 -1.675
Er 0.847 -5.538 -2.423
Er 3.214 -5.088 1.022
Er -5.077 -3.339 -0.790
S -2.382 -3.010 -0.327
Er -2.918 -2.679 2.356
S -5.336 -0.603 -0.970
P 2.954 -2.407 0.643
Er -1.847 -3.342 -3.009
P 0.778 -2.822 -2.523
Er -5.612 -0.483 1.769
N -3.160 -0.189 2.196
Er 0.313 -2.682 0.136
S -0.206 -2.596 2.839
```

Calculated values
The total energy comes out at -6.542 eV per atom. For the energy relative to the elements, uncorrected, the calculation gives -1.646 eV per atom. As for the space group: R-3m (166).

This record from Alexandria describes Er4PS2N after structural relaxation. The functional is PBE.

```
8
Lattice="3.760 0.000 0.000 0.000 6.547 0.125 0.000 -2.278 6.248" Properties=species:S:1:pos:R:3 pbc="T T T"
Er 0.000 4.229 1.447
S 1.880 -1.139 3.124
N 1.880 3.273 0.062
Er 1.880 1.213 1.451
P 0.000 0.000 0.000
Er 0.000 0.040 4.926
Er 1.880 3.056 4.922
S 0.000 2.134 3.187
```

Calculated values
The total energy comes out at -6.830 eV per atom. For the energy relative to the elements, uncorrected, the calculation gives -1.800 eV per atom. As for the space group: P2/m (10).

This record from Alexandria describes Er4PSe2N after structural relaxation. The functional is PBE.

```
8
Lattice="3.816 0.000 0.000 0.000 6.631 0.119 0.000 -2.316 6.491" Properties=species:S:1:pos:R:3 pbc="T T T"
Se 1.908 -1.158 3.246
Er 1.908 0.967 1.364
Se 0.000 2.158 3.305
Er 1.908 3.348 5.246
Er 0.000 4.554 1.478
Er 0.000 -0.238 5.132
N 0.000 0.000 0.000
P 1.908 3.316 0.059
```

Calculated values
The total energy comes out at -6.551 eV per atom. For the energy relative to the elements, uncorrected, the calculation gives -1.682 eV per atom. As for the space group: P2/m (10).

This record from Alexandria describes Er8P3Se3N after structural relaxation. The functional is PBE.

```
15
Lattice="-7.576 1.580 0.966 2.587 -7.318 0.771 1.832 5.390 5.552" Properties=species:S:1:pos:R:3 pbc="T T T"
Se 0.000 0.000 0.000
Er 0.766 0.909 4.521
Er -3.039 1.544 5.127
Er -5.318 2.686 2.353
P 2.210 -0.964 3.161
Er 2.160 -3.034 4.937
P -2.872 3.485 3.259
Er -0.119 -1.892 2.162
N 0.916 2.695 2.776
Se -2.495 -2.869 0.869
Er -1.922 -2.183 5.457
Se 1.294 -3.659 0.386
Er -3.924 -1.257 2.768
P -1.579 -0.174 3.645
Er -1.235 1.835 1.832
```

Calculated values
The total energy comes out at -6.312 eV per atom. For the energy relative to the elements, uncorrected, the calculation gives -1.544 eV per atom. As for the space group: R-3m (166).